A.
Material: ZrFeAsAu
Method: DFT, PBE
State: relaxed

Properties
**Total moment**: 0.452 μB per atom
**SG**: F-43m (216)
**Crystal system**: cubic

a = 4.6356 Å, b = 4.6356 Å, c = 4.6356 Å
α = 60.00°, β = 60.00°, γ = 60.00°
With the nearest neighbours (Å) after each atom.
Sites, in units of the cell vectors:
Zr1 0.0000 0.0000 0.0000  4 Fe 2.84, 4 Au 2.84
Fe1 0.7500 0.7500 0.7500  4 Zr 2.84, 4 As 2.84
As1 0.5000 0.5000 0.5000  4 Fe 2.84, 4 Au 2.84
Au1 0.2500 0.2500 0.2500  4 Zr 2.84, 4 As 2.84



B.
Material: ZrFeAsAu
Method: DFT, PBE
State: relaxed

Properties
**Total moment**: 0.523 μB per atom
**SG**: F-43m (216)
**Crystal system**: cubic

a = 4.6033 Å, b = 4.6033 Å, c = 4.6033 Å
α = 60.00°, β = 60.00°, γ = 60.00°
With the nearest neighbours (Å) after each atom.
Sites, in units of the cell vectors:
Zr1 0.0000 0.0000 0.0000  4 Au 2.82, 4 As 2.82
Fe1 0.5000 0.5000 0.5000  4 Au 2.82, 4 As 2.82
As1 0.2500 0.2500 0.2500  4 Zr 2.82, 4 Fe 2.82
Au1 0.7500 0.7500 0.7500  4 Zr 2.82, 4 Fe 2.82



Which structure loses on stability? A does.



A.
Material: GaAsAu
Method: DFT, PBE
State: relaxed

Properties
**SG**: Pnma (62)
**Crystal system**: orthorhombic

a = 5.9094 Å, b = 3.9064 Å, c = 9.9531 Å
α = 90.00°, β = 90.00°, γ = 90.00°
With the nearest neighbours (Å) after each atom.
Sites, in units of the cell vectors:
Ga1 0.1880 0.2500 0.0779  3 As 2.62-2.75, 2 Au 2.67
Ga2 0.3120 0.7500 0.5779  3 As 2.62-2.75, 2 Au 2.67
Ga3 0.6880 0.2500 0.4221  3 As 2.62-2.75, 2 Au 2.67
Ga4 0.8120 0.7500 0.9221  3 As 2.62-2.75, 2 Au 2.67
As1 0.2482 0.2500 0.3878  3 Ga 2.62-2.75, 4 Au 2.87-2.92
As2 0.2518 0.7500 0.8878  3 Ga 2.62-2.75, 4 Au 2.87-2.92
As3 0.7482 0.2500 0.1122  3 Ga 2.62-2.75, 4 Au 2.87-2.92
As4 0.7518 0.7500 0.6122  3 Ga 2.62-2.75, 4 Au 2.87-2.92
Au1 0.0859 0.2500 0.7016  2 Ga 2.67, 4 As 2.87-2.92
Au2 0.4141 0.7500 0.2016  2 Ga 2.67, 4 As 2.87-2.92
Au3 0.5859 0.2500 0.7984  2 Ga 2.67, 4 As 2.87-2.92
Au4 0.9141 0.7500 0.2984  2 Ga 2.67, 4 As 2.87-2.92



B.
Material: GaAsAu
Method: DFT, PBE
State: relaxed

Properties
**SG**: Pnma (62)
**Crystal system**: orthorhombic

a = 4.8735 Å, b = 3.8217 Å, c = 13.1162 Å
α = 90.00°, β = 90.00°, γ = 90.00°
With the nearest neighbours (Å) after each atom.
Sites, in units of the cell vectors:
Ga1 0.2422 0.2500 0.1769  1 As 2.48, 4 Au 2.63-2.78
Ga2 0.2578 0.7500 0.6769  1 As 2.48, 4 Au 2.63-2.78
Ga3 0.7422 0.2500 0.3231  1 As 2.48, 4 Au 2.63-2.78
Ga4 0.7578 0.7500 0.8231  1 As 2.48, 4 Au 2.63-2.78
As1 0.1404 0.7500 0.9482  1 Ga 2.48, 2 As 2.72
As2 0.3596 0.2500 0.4482  1 Ga 2.48, 2 As 2.72
As3 0.6404 0.7500 0.5518  1 Ga 2.48, 2 As 2.72
As4 0.8596 0.2500 0.0518  1 Ga 2.48, 2 As 2.72
Au1 0.1134 0.7500 0.3227  4 Ga 2.63-2.78, 2 As 2.79
Au2 0.3866 0.2500 0.8227  4 Ga 2.63-2.78, 2 As 2.79
Au3 0.6134 0.7500 0.1773  4 Ga 2.63-2.78, 2 As 2.79
Au4 0.8866 0.2500 0.6773  4 Ga 2.63-2.78, 2 As 2.79



Which structure loses on stability? A does.